Entry 1:
Computed, not measured: a relaxed Zr3Cd5 crystal at the PBE level of DFT.

abc: 8.889 8.944 4.380
angles: 90.00 90.00 90.00
Space group Cmmm (No. 65)
Asymmetric unit:
Zr (0.000, 0.000, 0.000)
Zr (0.245, 0.000, 0.500)
Cd (0.000, 0.250, 0.500)
Cd (0.000, 0.500, 0.000)
Cd (0.250, 0.250, 0.000)

Values from the calculation:
energy of formation = -0.080 eV per atom
Fermi-level density of states = 15.1 states/eV/cell
energy above the most stable polymorph in this dataset = 24 meV per atom
total DFT energy (no corrections) = -61.72 eV/cell

=====

Entry 2:
Computed, not measured: a relaxed ZrCd3 crystal at the PBE level of DFT.

abc: 6.333 9.499 2.927
angles: 90.00 90.00 90.00
Space group Cmmm (No. 65)
Asymmetric unit:
Zr (0.000, 0.000, 0.000)
Cd (0.000, 0.500, 0.000)
Cd (0.250, 0.250, 0.500)

Values from the calculation:
energy of formation = -0.026 eV per atom
Fermi-level density of states = 5.4 states/eV/cell
total DFT energy (no corrections) = -22.80 eV/cell

=====

Entry 3:
Computed, not measured: a relaxed Zr3Cd crystal at the PBE level of DFT.

abc: 4.463 4.463 4.463
angles: 90.00 90.00 90.00
Space group Pm-3m (No. 221)
Asymmetric unit:
Zr (0.000, 0.000, 0.500)
Cd (0.500, 0.500, 0.500)

Values from the calculation:
energy of formation = -0.077 eV per atom
Fermi-level density of states = 5.1 states/eV/cell
total DFT energy (no corrections) = -26.87 eV/cell

=====

Entry 4:
Computed, not measured: a relaxed ZrCd crystal at the PBE level of DFT.

abc: 5.715 5.715 5.946
angles: 90.00 90.00 90.00
Space group P4_2/mnm (No. 136)
Asymmetric unit:
Zr (0.181, 0.181, 0.000)
Cd (0.181, 0.181, 0.500)

Values from the calculation:
energy of formation = 0.363 eV per atom
Fermi-level density of states = 11.2 states/eV/cell
total DFT energy (no corrections) = -34.95 eV/cell

=====

Entry 5:
Computed, not measured: a relaxed ZrCd crystal at the PBE level of DFT.

abc: 6.438 6.438 6.438
angles: 90.00 90.00 90.00
Space group F-43m (No. 216)
Asymmetric unit:
Zr (0.000, 0.000, 0.000)
Cd (0.250, 0.250, 0.750)

Values from the calculation:
energy of formation = 1.393 eV per atom
Fermi-level density of states = 19.2 states/eV/cell
total DFT energy (no corrections) = -26.71 eV/cell

=====

Entry 6:
Computed, not measured: a relaxed Zr2Cd crystal at the PBE level of DFT.

abc: 6.785 6.785 6.785
angles: 90.00 90.00 90.00
Space group Pa-3 (No. 205)
Asymmetric unit:
Zr (0.134, 0.134, 0.134)
Cd (0.000, 0.000, 0.500)

Values from the calculation:
energy of formation = 0.690 eV per atom
Fermi-level density of states = 19.9 states/eV/cell
total DFT energy (no corrections) = -63.77 eV/cell

=====

Entry 7:
Computed, not measured: a relaxed ZrCd2 crystal at the PBE level of DFT.

abc: 3.213 15.881 5.122
angles: 90.00 90.00 90.00
Space group Cmcm (No. 63)
Asymmetric unit:
Zr (0.000, 0.105, 0.250)
Cd (0.000, 0.224, 0.750)
Cd (0.000, 0.439, 0.250)

Values from the calculation:
energy of formation = 0.011 eV per atom
Fermi-level density of states = 7.5 states/eV/cell
total DFT energy (no corrections) = -41.38 eV/cell

=====

Entry 8:
Computed, not measured: a relaxed ZrCd crystal at the PBE level of DFT.

abc: 3.224 12.222 4.545
angles: 90.00 90.00 90.00
Space group Cmcm (No. 63)
Asymmetric unit:
Zr (0.000, 0.182, 0.250)
Cd (0.000, 0.432, 0.250)

Values from the calculation:
energy of formation = -0.050 eV per atom
Fermi-level density of states = 9.3 states/eV/cell
total DFT energy (no corrections) = -38.26 eV/cell

=====

Entry 9:
Computed, not measured: a relaxed ZrCd2 crystal at the PBE level of DFT.

abc: 7.0506 7.0506 4.9101
angles: 90.00 90.00 120.00
Space group P-62m (No. 189)
Asymmetric unit:
Zr (0.0000, 0.0000, 0.0000)
Zr (0.3333, 0.6667, 0.5000)
Cd (0.0000, 0.2312, 0.5000)
Cd (0.0000, 0.5112, 0.0000)

Values from the calculation:
energy of formation = 0.248 eV per atom
Fermi-level density of states = 4.1 states/eV/cell
total DFT energy (no corrections) = -28.91 eV/cell

=====

Entry 10:
Computed, not measured: a relaxed ZrCd7 crystal at the PBE level of DFT.

abc: 8.947 8.947 8.947
angles: 90.00 90.00 90.00
Space group Fm-3m (No. 225)
Asymmetric unit:
Zr (0.000, 0.000, 0.000)
Cd (0.000, 0.000, 0.500)
Cd (0.000, 0.250, 0.250)

Values from the calculation:
energy of formation = -0.008 eV per atom
Fermi-level density of states = 30.5 states/eV/cell
total DFT energy (no corrections) = -60.07 eV/cell

=====

Entry 11:
Computed, not measured: a relaxed Zr3Cd crystal at the PBE level of DFT.

abc: 6.3021 6.3021 5.2046
angles: 90.00 90.00 120.00
Space group P6_3/mmc (No. 194)
Asymmetric unit:
Zr (0.1685, 0.3370, 0.2500)
Cd (0.3333, 0.6667, 0.7500)

Values from the calculation:
energy of formation = -0.035 eV per atom
Fermi-level density of states = 11.8 states/eV/cell
total DFT energy (no corrections) = -53.40 eV/cell

=====

Entry 12:
Computed, not measured: a relaxed Zr5Cd crystal at the PBE level of DFT.

abc: 5.9811 5.9811 4.8515
angles: 90.00 90.00 120.00
Space group P6/mmm (No. 191)
Asymmetric unit:
Zr (0.0000, 0.5000, 0.0000)
Zr (0.3333, 0.6667, 0.5000)
Cd (0.0000, 0.0000, 0.5000)

Values from the calculation:
energy of formation = 0.481 eV per atom
Fermi-level density of states = 9.7 states/eV/cell
energy above the most stable polymorph in this dataset = 518 meV per atom
total DFT energy (no corrections) = -40.77 eV/cell